Hg2SbP: relaxed, PBE.

Computed properties:
Crystal system = tetragonal
DFT total energy = -2.319 eV/atom
Offset from the most stable computed form = 131 meV/atom
N(E_F) = 1.84 states/eV per cell
Formation energy (no corrections) = 0.86 eV/f.u.
Space-group type = P4mm

POSCAR file:
```
Hg2SbP
1.0
3.463 0.000 0.000
0.000 3.463 0.000
0.000 0.000 8.961
Hg Sb P
2 1 1
direct
0.000 0.000 0.000 Hg
0.500 0.500 0.272 Hg
0.500 0.500 0.686 Sb
0.000 0.000 0.555 P
```